Y2HgSe, relaxed, DFT GGA-PBEsol; distance to the lowest polymorph of the same formula = 70 meV/atom; symmetry = P4/mmm; uncorrected formation energy = -1.132 eV/atom
1.0
4.1331 0.0000 0.0000
0.0000 4.1331 0.0000
0.0000 0.0000 5.9173
Y Hg Se
2 1 1
direct
0.0000 0.0000 0.0000 Y
0.5000 0.5000 0.5000 Y
0.0000 0.0000 0.5000 Hg
0.5000 0.5000 0.0000 Se

SiTe3, relaxed, DFT GGA-PBEsol; symmetry = Im-3m; uncorrected formation energy = 0.184 eV/atom
1.0
-3.0419 3.0419 3.0419
3.0419 -3.0419 3.0419
3.0419 3.0419 -3.0419
Si Te
1 3
direct
0.0000 0.0000 0.0000 Si
0.0000 0.5000 0.5000 Te
0.5000 0.0000 0.5000 Te
0.5000 0.5000 0.0000 Te

Sb2Au, relaxed, DFT GGA-PBEsol; symmetry = Cmcm; uncorrected formation energy = -0.061 eV/atom
1.0
2.0597 -6.2182 0.0000
2.0597 6.2182 0.0000
0.0000 0.0000 5.7502
Sb Au
4 2
direct
0.0246 0.9754 0.7500 Sb
0.3152 0.6848 0.7500 Sb
0.6848 0.3152 0.2500 Sb
0.9754 0.0246 0.2500 Sb
0.3323 0.6677 0.2500 Au
0.6677 0.3323 0.7500 Au